Entry 1
KRuW (GGA-PBE, relaxed); crystal system = tetragonal; space group = I4mm, No. 107
1.0
-1.560 1.560 7.135
1.560 -1.560 7.135
1.560 1.560 -7.135
K Ru W
1 1 1
Cartesian
0.000 0.000 0.000 K
0.000 0.000 9.899 Ru
0.000 0.000 3.984 W


Entry 2
KRuW (GGA-PBE, relaxed); crystal system = cubic; space group = F-43m, No. 216
1.0
0.000 3.178 3.178
3.178 0.000 3.178
3.178 3.178 0.000
K Ru W
1 1 1
Cartesian
0.000 0.000 0.000 K
1.589 1.589 1.589 Ru
3.178 3.178 3.178 W


Stability, highest: entry 1


Entry 1
KRuW (GGA-PBE, relaxed); crystal system = trigonal; space group = P3m1, No. 156
1.0
2.895 0.000 0.000
-1.448 2.507 0.000
0.000 0.000 8.076
K Ru W
1 1 1
Cartesian
0.000 0.000 0.000 K
0.000 1.671 2.904 Ru
1.448 0.836 4.894 W


Entry 2
KRuW (GGA-PBE, relaxed); crystal system = orthorhombic; space group = Fmm2, No. 42
1.0
0.000 2.340 8.099
1.543 0.000 8.099
1.543 2.340 0.000
K Ru W
1 1 1
Cartesian
0.000 0.000 0.000 K
1.543 2.340 5.254 Ru
1.543 2.340 11.305 W


Entry 3
KRuW (GGA-PBE, relaxed); crystal system = cubic; space group = F-43m, No. 216
1.0
0.000 3.195 3.195
3.195 0.000 3.195
3.195 3.195 0.000
K Ru W
1 1 1
Cartesian
0.000 0.000 0.000 K
1.597 1.597 1.597 Ru
4.792 4.792 4.792 W


Stability, highest: entry 1